A plane-wave DFT calculation with PBE was carried out for a relaxed Ta2MnH2 crystal.

Lattice parameters (Å, degrees): 2.984 2.984 6.096 90.00 90.00 90.00
Space group P4/mmm (No. 123)
Unique sites:
Ta  0.000  0.000  0.244
Mn  0.500  0.500  0.500
H  0.000  0.500  0.000

Results
E: -39.80 eV per formula unit
calculated density: 12.81 g cm⁻³
M_tot: 0.00 μB/f.u.
density of states at the Fermi level: 2.63 states/eV/f.u.